First-principles (PBE-GGA) data for a relaxed structure of La2YTa, as listed in Alexandria.

Geometry as extended XYZ:
```
4
Lattice="-0.9467 1.9105 -2.5636 -2.5993 -1.7168 1.1893 -2.3146 8.4690 7.1661" Properties=species:S:1:pos:R:3 pbc="T T T"
Y -3.5089 6.4486 4.6875
La -1.0635 3.8915 3.2928
La -0.0937 0.3430 0.2902
Ta -2.3516 2.2141 1.1044
```

Values from the calculation:
- DOS at the Fermi energy (states/eV per cell) = 7.91
- excess energy over the best structure of this formula in the dataset (eV/atom) = 0.117
- theoretical density (g/cm3) = 7.7
- energy (eV per atom) = -6.608
- formation energy (meV per atom) = 435
- total magnetic moment (μB per formula unit) = 0.00



First-principles (PBE-GGA) data for a relaxed structure of LaY2Ta, as listed in Alexandria.

Geometry as extended XYZ:
```
4
Lattice="3.3114 0.0000 0.0000 0.0000 3.3114 0.0000 0.0000 0.0000 10.4555" Properties=species:S:1:pos:R:3 pbc="T T T"
La 0.0000 0.0000 5.5737
Y 1.6557 1.6557 2.5363
Y 0.0000 0.0000 10.1003
Ta 1.6557 1.6557 7.9284
```

Values from the calculation:
- DOS at the Fermi energy (states/eV per cell) = 5.88
- excess energy over the best structure of this formula in the dataset (eV/atom) = 0.062
- theoretical density (g/cm3) = 7.2
- energy (eV per atom) = -7.094
- formation energy (meV per atom) = 333
- total magnetic moment (μB per formula unit) = 0.00